Entry 1:
# K2YMn, relaxed, DFT PBE
data_K2YMn
_chemical_formula_sum 'K4 Y2 Mn2'
_symmetry_space_group_name_H-M 'C 1 2/m 1'
_symmetry_Int_Tables_number 12
_cell_length_a 6.6643
_cell_length_b 13.5885
_cell_length_c 3.6449
_cell_angle_alpha 90.00
_cell_angle_beta 120.11
_cell_angle_gamma 90.00
loop_
_symmetry_equiv_pos_as_xyz
'x,y,z'
'-x,-y,-z'
'-x,y,-z'
'x,-y,z'
'x+1/2,y+1/2,z'
'-x+1/2,-y+1/2,-z'
'-x+1/2,y+1/2,-z'
'x+1/2,-y+1/2,z'
loop_
_atom_site_label
_atom_site_fract_x
_atom_site_fract_y
_atom_site_fract_z
K1 0.2500 0.2500 0.0000
Y1 0.0000 0.0000 0.5000
Mn1 0.0000 0.5000 0.5000
# ΔE_f = 308.5 kJ/mol of formula units
# crystal system = monoclinic

***

Entry 2:
# K2YMn, relaxed, DFT PBE
data_K2YMn
_chemical_formula_sum 'K2 Y1 Mn1'
_symmetry_space_group_name_H-M 'P 4/m m m'
_symmetry_Int_Tables_number 123
_symmetry_space_group_name_Hall '-P 4 2'
_cell_length_a 3.4796
_cell_length_b 3.4796
_cell_length_c 12.6133
_cell_angle_alpha 90.00
_cell_angle_beta 90.00
_cell_angle_gamma 90.00
loop_
_atom_site_label
_atom_site_fract_x
_atom_site_fract_y
_atom_site_fract_z
K1 0.0000 0.0000 0.2218
Y1 0.5000 0.5000 0.5000
Mn1 0.5000 0.5000 0.0000
# ΔE_f = 334.3 kJ/mol of formula units
# crystal system = tetragonal

***

Entry 3:
# K2YMn, relaxed, DFT PBE
data_K2YMn
_chemical_formula_sum 'K2 Y1 Mn1'
_symmetry_space_group_name_H-M 'P m m m'
_symmetry_Int_Tables_number 47
_cell_length_a 3.5784
_cell_length_b 6.4388
_cell_length_c 6.6243
_cell_angle_alpha 90.00
_cell_angle_beta 90.00
_cell_angle_gamma 90.00
loop_
_symmetry_equiv_pos_as_xyz
'x,y,z'
'-x,-y,-z'
'-x,-y,z'
'x,y,-z'
'x,-y,-z'
'-x,y,z'
'-x,y,-z'
'x,-y,z'
loop_
_atom_site_label
_atom_site_fract_x
_atom_site_fract_y
_atom_site_fract_z
K1 0.0000 0.0000 0.2395
Y1 0.5000 0.5000 0.5000
Mn1 0.5000 0.5000 0.0000
# ΔE_f = 341.3 kJ/mol of formula units
# crystal system = orthorhombic

***

Entry 4:
# K2YMn, relaxed, DFT PBE
data_K2YMn
_chemical_formula_sum 'K2 Y1 Mn1'
_symmetry_space_group_name_H-M 'P 4 m m'
_symmetry_Int_Tables_number 99
_cell_length_a 3.7070
_cell_length_b 3.7070
_cell_length_c 11.5918
_cell_angle_alpha 90.00
_cell_angle_beta 90.00
_cell_angle_gamma 90.00
loop_
_symmetry_equiv_pos_as_xyz
'x,y,z'
'-y,x,z'
'-x,-y,z'
'y,-x,z'
'-x,y,z'
'y,x,z'
'x,-y,z'
'-y,-x,z'
loop_
_atom_site_label
_atom_site_fract_x
_atom_site_fract_y
_atom_site_fract_z
K1 0.0000 0.0000 0.0000
K2 0.5000 0.5000 0.3559
Y1 0.5000 0.5000 0.7087
Mn1 0.0000 0.0000 0.5758
# ΔE_f = 175.6 kJ/mol of formula units
# crystal system = tetragonal

***

Entry 5:
# K2YMn, relaxed, DFT PBE
data_K2YMn
_chemical_formula_sum 'K2 Y1 Mn1'
_symmetry_space_group_name_H-M 'P 4/m m m'
_symmetry_Int_Tables_number 123
_symmetry_space_group_name_Hall '-P 4 2'
_cell_length_a 4.6393
_cell_length_b 4.6393
_cell_length_c 6.6582
_cell_angle_alpha 90.00
_cell_angle_beta 90.00
_cell_angle_gamma 90.00
loop_
_atom_site_label
_atom_site_fract_x
_atom_site_fract_y
_atom_site_fract_z
K1 0.0000 0.5000 0.0000
Y1 0.0000 0.0000 0.5000
Mn1 0.5000 0.5000 0.5000
# ΔE_f = 307.4 kJ/mol of formula units
# crystal system = tetragonal

***

Entry 6:
# KY2ZrMn, relaxed, DFT PBE
data_KY2ZrMn
_chemical_formula_sum 'K1 Y2 Zr1 Mn1'
_symmetry_space_group_name_H-M 'P 4/m m m'
_symmetry_Int_Tables_number 123
_symmetry_space_group_name_Hall '-P 4 2'
_cell_length_a 5.2854
_cell_length_b 5.2854
_cell_length_c 5.6028
_cell_angle_alpha 90.00
_cell_angle_beta 90.00
_cell_angle_gamma 90.00
loop_
_atom_site_label
_atom_site_fract_x
_atom_site_fract_y
_atom_site_fract_z
K1 0.0000 0.0000 0.0000
Y1 0.0000 0.5000 0.5000
Zr1 0.5000 0.5000 0.0000
Mn1 0.0000 0.0000 0.5000
# ΔE_f = 503.6 kJ/mol of formula units
# crystal system = tetragonal

***

Entry 7:
# K2MnZn, relaxed, DFT PBE
data_K2MnZn
_chemical_formula_sum 'K2 Mn1 Zn1'
_symmetry_space_group_name_H-M 'P 4/m m m'
_symmetry_Int_Tables_number 123
_symmetry_space_group_name_Hall '-P 4 2'
_cell_length_a 5.2821
_cell_length_b 5.2821
_cell_length_c 4.9925
_cell_angle_alpha 90.00
_cell_angle_beta 90.00
_cell_angle_gamma 90.00
loop_
_atom_site_label
_atom_site_fract_x
_atom_site_fract_y
_atom_site_fract_z
K1 0.0000 0.5000 0.0000
Mn1 0.0000 0.0000 0.5000
Zn1 0.5000 0.5000 0.5000
# ΔE_f = 270.9 kJ/mol of formula units
# crystal system = tetragonal

***

Entry 8:
# K2MnZn, relaxed, DFT PBE
data_K2MnZn
_chemical_formula_sum 'K6 Mn3 Zn3'
_symmetry_space_group_name_H-M 'R -3 m'
_symmetry_Int_Tables_number 166
_symmetry_space_group_name_Hall '-R 3 2"'
_cell_length_a 3.6388
_cell_length_b 3.6388
_cell_length_c 35.9800
_cell_angle_alpha 90.00
_cell_angle_beta 90.00
_cell_angle_gamma 120.00
loop_
_atom_site_label
_atom_site_fract_x
_atom_site_fract_y
_atom_site_fract_z
K1 0.0000 0.0000 0.2493
Mn1 0.0000 0.0000 0.0000
Zn1 0.0000 0.0000 0.5000
# ΔE_f = 297.6 kJ/mol of formula units
# crystal system = trigonal

***

Entry 9:
# K2MnZn, relaxed, DFT PBE
data_K2MnZn
_chemical_formula_sum 'K8 Mn4 Zn4'
_symmetry_space_group_name_H-M 'I -4 2 d'
_symmetry_Int_Tables_number 122
_symmetry_space_group_name_Hall 'I -4 2bw'
_cell_length_a 12.4027
_cell_length_b 12.4027
_cell_length_c 4.9572
_cell_angle_alpha 90.00
_cell_angle_beta 90.00
_cell_angle_gamma 90.00
loop_
_atom_site_label
_atom_site_fract_x
_atom_site_fract_y
_atom_site_fract_z
K1 0.0852 0.2500 0.1250
Mn1 0.0000 0.0000 0.5000
Zn1 0.0000 0.0000 0.0000
# ΔE_f = 227.9 kJ/mol of formula units
# crystal system = tetragonal

***

Entry 10:
# K3MnZn, relaxed, DFT PBE
data_K3MnZn
_chemical_formula_sum 'K3 Mn1 Zn1'
_symmetry_space_group_name_H-M 'P m -3 m'
_symmetry_Int_Tables_number 221
_symmetry_space_group_name_Hall '-P 4 2 3'
_cell_length_a 6.4129
_cell_length_b 6.4129
_cell_length_c 6.4129
_cell_angle_alpha 90.00
_cell_angle_beta 90.00
_cell_angle_gamma 90.00
loop_
_atom_site_label
_atom_site_fract_x
_atom_site_fract_y
_atom_site_fract_z
K1 0.0000 0.0000 0.5000
Mn1 0.5000 0.5000 0.5000
Zn1 0.0000 0.0000 0.0000
# ΔE_f = 350.5 kJ/mol of formula units
# crystal system = cubic

***

Entry 11:
# KMnZn, relaxed, DFT PBE
data_KMnZn
_chemical_formula_sum 'K1 Mn1 Zn1'
_symmetry_space_group_name_H-M 'P 3 m 1'
_symmetry_Int_Tables_number 156
_cell_length_a 3.2748
_cell_length_b 3.2748
_cell_length_c 7.7977
_cell_angle_alpha 90.00
_cell_angle_beta 90.00
_cell_angle_gamma 120.00
loop_
_symmetry_equiv_pos_as_xyz
'x,y,z'
'-y,x-y,z'
'-x+y,-x,z'
'-y,-x,z'
'-x+y,y,z'
'x,x-y,z'
loop_
_atom_site_label
_atom_site_fract_x
_atom_site_fract_y
_atom_site_fract_z
K1 0.0000 0.0000 0.0000
Mn1 0.6667 0.3333 0.3959
Zn1 0.3333 0.6667 0.6322
# ΔE_f = 201.5 kJ/mol of formula units
# crystal system = trigonal

***

Entry 12:
# K2MnZn, relaxed, DFT PBE
data_K2MnZn
_chemical_formula_sum 'K2 Mn1 Zn1'
_symmetry_space_group_name_H-M 'P 1 2/m 1'
_symmetry_Int_Tables_number 10
_cell_length_a 3.7186
_cell_length_b 4.8922
_cell_length_c 7.7479
_cell_angle_alpha 90.00
_cell_angle_beta 90.41
_cell_angle_gamma 90.00
loop_
_symmetry_equiv_pos_as_xyz
'x,y,z'
'-x,-y,-z'
'-x,y,-z'
'x,-y,z'
loop_
_atom_site_label
_atom_site_fract_x
_atom_site_fract_y
_atom_site_fract_z
K1 0.9996 0.0000 0.2449
Mn1 0.5000 0.5000 0.5000
Zn1 0.5000 0.5000 0.0000
# ΔE_f = 267.9 kJ/mol of formula units
# crystal system = monoclinic

***

Entry 13:
# K2MnZn, relaxed, DFT PBE
data_K2MnZn
_chemical_formula_sum 'K2 Mn1 Zn1'
_symmetry_space_group_name_H-M 'P m m 2'
_symmetry_Int_Tables_number 25
_cell_length_a 3.6385
_cell_length_b 3.6681
_cell_length_c 10.2237
_cell_angle_alpha 90.00
_cell_angle_beta 90.00
_cell_angle_gamma 90.00
loop_
_symmetry_equiv_pos_as_xyz
'x,y,z'
'-x,-y,z'
'-x,y,z'
'x,-y,z'
loop_
_atom_site_label
_atom_site_fract_x
_atom_site_fract_y
_atom_site_fract_z
K1 0.0000 0.0000 0.0000
K2 0.5000 0.5000 0.4033
Mn1 0.0000 0.0000 0.6767
Zn1 0.5000 0.5000 0.7353
# ΔE_f = 157.9 kJ/mol of formula units
# crystal system = orthorhombic

***

Entry 14:
# KMnZn, relaxed, DFT PBE
data_KMnZn
_chemical_formula_sum 'K4 Mn4 Zn4'
_symmetry_space_group_name_H-M 'F -4 3 m'
_symmetry_Int_Tables_number 216
_symmetry_space_group_name_Hall 'F -4 2 3'
_cell_length_a 7.1702
_cell_length_b 7.1702
_cell_length_c 7.1702
_cell_angle_alpha 90.00
_cell_angle_beta 90.00
_cell_angle_gamma 90.00
loop_
_atom_site_label
_atom_site_fract_x
_atom_site_fract_y
_atom_site_fract_z
K1 0.0000 0.0000 0.0000
Mn1 0.0000 0.0000 0.5000
Zn1 0.2500 0.2500 0.7500
# ΔE_f = 249.0 kJ/mol of formula units
# crystal system = cubic

***

Entry 15:
# KMnZn, relaxed, DFT PBE
data_KMnZn
_chemical_formula_sum 'K2 Mn2 Zn2'
_symmetry_space_group_name_H-M 'I m m 2'
_symmetry_Int_Tables_number 44
_cell_length_a 3.0090
_cell_length_b 4.1261
_cell_length_c 12.2652
_cell_angle_alpha 90.00
_cell_angle_beta 90.00
_cell_angle_gamma 90.00
loop_
_symmetry_equiv_pos_as_xyz
'x,y,z'
'-x,-y,z'
'-x,y,z'
'x,-y,z'
'x+1/2,y+1/2,z+1/2'
'-x+1/2,-y+1/2,z+1/2'
'-x+1/2,y+1/2,z+1/2'
'x+1/2,-y+1/2,z+1/2'
loop_
_atom_site_label
_atom_site_fract_x
_atom_site_fract_y
_atom_site_fract_z
K1 0.0000 0.0000 0.0000
Mn1 0.0000 0.0000 0.7329
Zn1 0.0000 0.0000 0.2748
# ΔE_f = 131.2 kJ/mol of formula units
# crystal system = orthorhombic